(1)
! BeTlPt4 PBE relaxed; values from VASP
&SYSTEM
  ibrav = 0, nat = 6, ntyp = 3
/
ATOMIC_SPECIES
Be 9.01 Be.upf
Tl 204.38 Tl.upf
Pt 195.08 Pt.upf
CELL_PARAMETERS angstrom
0.000 3.773 3.773
3.773 0.000 3.773
3.773 3.773 0.000
ATOMIC_POSITIONS angstrom
Be 0.000 0.000 0.000
Tl 5.660 5.660 5.660
Pt 2.828 2.828 2.828
Pt 4.718 4.718 2.828
Pt 4.718 2.828 4.718
Pt 2.828 4.718 4.718
! * symmetry: F-43m, No. 216
! * total energy: -4.814 eV/atom

---

(2)
! Be2TlPt PBE relaxed; values from VASP
&SYSTEM
  ibrav = 0, nat = 8, ntyp = 3
/
ATOMIC_SPECIES
Be 9.01 Be.upf
Tl 204.38 Tl.upf
Pt 195.08 Pt.upf
CELL_PARAMETERS angstrom
4.425 0.000 0.000
0.000 4.433 0.000
0.000 0.000 6.074
ATOMIC_POSITIONS angstrom
Be 0.000 0.000 0.000
Be 0.000 2.216 1.287
Be 2.212 0.000 1.287
Be 2.212 2.216 0.000
Tl 0.000 0.000 2.981
Tl 2.212 2.216 2.981
Pt 0.000 2.216 5.198
Pt 2.212 0.000 5.198
! * symmetry: Cmm2, No. 35
! * polymorph energy (0 for the lowest one): 187.2 meV/atom
! * total energy: -3.909 eV/atom

---

(3)
! Be2TlPt PBE relaxed; values from VASP
&SYSTEM
  ibrav = 0, nat = 8, ntyp = 3
/
ATOMIC_SPECIES
Be 9.01 Be.upf
Tl 204.38 Tl.upf
Pt 195.08 Pt.upf
CELL_PARAMETERS angstrom
2.816 0.000 0.000
0.000 3.734 0.000
0.000 0.000 12.518
ATOMIC_POSITIONS angstrom
Be 0.000 0.000 0.000
Be 0.000 1.867 1.842
Be 1.408 0.000 8.101
Be 1.408 1.867 6.259
Tl 0.000 1.867 9.752
Tl 1.408 0.000 3.493
Pt 0.000 0.000 6.286
Pt 1.408 1.867 0.027
! * symmetry: Imm2, No. 44
! * polymorph energy (0 for the lowest one): 133.3 meV/atom
! * total energy: -3.963 eV/atom

---

In eV/atom, the energy of formation values for the records above are, in order, 0.2287; 0.0555; 0.0017.
In states/eV per cell, the N(E_F) values for the records above are, in order, 5.98; 1.75; 2.62.